Ru5Pb after structural relaxation. Source: Alexandria, functional PBE-GGA.

POSCAR file:
```
Ru5Pb
1.0
1.4284 5.0683 -0.0087
-1.4284 5.0683 -0.0087
0.0000 1.7294 6.3915
Ru Pb
5 1
direct
0.3275 0.3275 0.3479
0.6797 0.6797 0.6507
0.6200 0.6200 0.2956
0.9466 0.9466 0.5981
0.2672 0.2672 0.9384
0.9922 0.9922 0.0026
```

Computed properties:
Density of states at the Fermi level ... 0.93 states/eV per atom
Offset from the most stable computed form ... 0.256 kcal/mol of atoms
Energy ... -8.014 eV per atom
Total magnetization ... 0.00 μB/f.u.
ρ ... 12780 kg/m³
Energy of formation from the pure elements ... 0.3336 eV/atom


CsKRb2Li after structural relaxation. Source: Alexandria, functional PBE-GGA.

POSCAR file:
```
CsKRb2Li
1.0
7.4501 0.0000 0.0000
0.0000 7.4501 0.0000
0.0000 0.0000 7.7275
Cs K Rb Li
1 1 2 1
direct
0.0000 0.0000 0.5000
0.5000 0.5000 0.5000
0.0000 0.5000 0.0000
0.5000 0.0000 0.0000
0.0000 0.0000 0.0000
```

Computed properties:
Density of states at the Fermi level ... 0.78 states/eV per atom
Offset from the most stable computed form ... 0.777 kcal/mol of atoms
Energy ... -1.017 eV per atom
Total magnetization ... 0.00 μB/f.u.
ρ ... 1355 kg/m³
Energy of formation from the pure elements ... 0.1430 eV/atom


BeAsSe2 after structural relaxation. Source: Alexandria, functional PBE-GGA.

POSCAR file:
```
BeAsSe2
1.0
-4.5136 1.1716 6.9083
-2.7837 -1.5485 7.7021
-1.4214 1.4549 8.0828
Be As Se
1 1 2
direct
0.5000 0.5000 0.5000
0.0000 0.0000 0.0000
0.8904 0.8904 0.8904
0.1096 0.1096 0.1096
```

Computed properties:
Density of states at the Fermi level ... 0.56 states/eV per atom
Offset from the most stable computed form ... 3.210 kcal/mol of atoms
Energy ... -3.813 eV per atom
Total magnetization ... 0.00 μB/f.u.
ρ ... 5187 kg/m³
Energy relative to the elements, uncorrected ... 9 kJ/mol of formula units


Ag2SbCl after structural relaxation. Source: Alexandria, functional PBE-GGA.

POSCAR file:
```
Ag2SbCl
1.0
8.1013 0.0161 -0.0130
6.6207 4.6689 0.0130
-7.3513 -2.3731 2.4411
Sb Ag Cl
1 2 1
direct
0.8027 0.3027 0.5000
0.9508 0.9508 0.0000
0.1946 0.6946 0.5000
0.5519 0.5519 0.0000
```

Computed properties:
Density of states at the Fermi level ... 0.22 states/eV per atom
Offset from the most stable computed form ... 0.727 kcal/mol of atoms
Energy ... -3.026 eV per atom
Total magnetization ... 0.00 μB/f.u.
ρ ... 6726 kg/m³
Energy relative to the elements, uncorrected ... -42 kJ/mol of formula units


Ag7HgAu2 after structural relaxation. Source: Alexandria, functional PBE-GGA.

POSCAR file:
```
Ag7HgAu2
1.0
-2.4337 2.6940 1.1444
-3.8830 -6.7228 1.2437
5.8427 0.3618 5.2489
Ag Hg Au
7 1 2
direct
0.0000 0.6636 0.3364
0.0000 0.3364 0.6636
0.2519 0.0929 0.4109
0.7481 0.9071 0.5891
0.2519 0.4109 0.0929
0.7481 0.5891 0.9071
0.5000 0.5000 0.5000
0.0000 0.0000 0.0000
0.5000 0.8291 0.1709
0.5000 0.1709 0.8291
```

Computed properties:
Density of states at the Fermi level ... 0.21 states/eV per atom
Energy ... -2.575 eV per atom
Total magnetization ... 0.00 μB/f.u.
ρ ... 10943 kg/m³
Energy of formation from the pure elements ... 0.1061 eV/atom


PH2PtAu after structural relaxation. Source: Alexandria, functional PBE-GGA.

POSCAR file:
```
PH2PtAu
1.0
-2.9143 1.8472 0.1858
-2.4082 -3.4322 -3.6511
-1.0984 -1.9943 2.5992
P Au Pt H
1 1 1 2
direct
0.0000 0.5000 0.0000
0.0000 0.0000 0.0000
0.5000 0.5000 0.5000
0.0000 0.0000 0.5000
0.5000 0.0000 0.0000
```

Computed properties:
Density of states at the Fermi level ... 0.55 states/eV per atom
Energy ... -4.020 eV per atom
Total magnetization ... 0.00 μB/f.u.
ρ ... 10633 kg/m³


Q: Which of these has the lowest density of states at the Fermi level?
A: Ag7HgAu2